(1)
The following is a SCAN calculation of MnZnW2 at its PBEsol-relaxed geometry, from Alexandria via LeMat-Bulk.

Crystal system: trigonal
SG: R-3m (166)

abc: 8.890 8.890 8.890
angles: 17.66 17.66 17.66
Atoms (fractional coordinates):
Mn1 0.000 0.000 0.000
Zn1 0.500 0.500 0.500
W1 0.255 0.255 0.255
W2 0.745 0.745 0.745



(2)
The following is a SCAN calculation of CdAg2HgB at its PBEsol-relaxed geometry, from Alexandria via LeMat-Bulk.

Crystal system: tetragonal
SG: P4/mmm (123)

abc: 5.211 5.211 4.073
angles: 90.00 90.00 90.00
Atoms (fractional coordinates):
Cd1 0.000 0.000 0.000
Ag1 0.000 0.500 0.500
Ag2 0.500 0.000 0.500
Hg1 0.500 0.500 0.500
B1 0.500 0.500 0.000



How do the records compare in DOS at the Fermi energy? In the order shown, they have 3.74; 1.71 states/eV/f.u..
How do the records compare in energy of formation from the pure elements? In the order shown, they have 408; 913 meV per atom.
How do the records compare in total magnetic moment? In the order shown, they have 0.01; 0.00 μB per cell.